# Ga2P3H3O9

Crystalline Ga2P3H3O9 at its relaxed geometry (GGA-PBEsol, the Alexandria database). Values from VASP.

Results
Fermi-level density of states (states/eV/cell): 0.000
DFT total energy (eV/f.u.): -109.9
Spin magnetization (μB per cell): 0.0

Geometry as Quantum ESPRESSO input:
```
&SYSTEM
  ibrav = 0, nat = 34, ntyp = 4
/
ATOMIC_SPECIES
Ga 69.72 Ga.upf
P 30.97 P.upf
H 1.01 H.upf
O 16.00 O.upf
ATOMIC_POSITIONS crystal
Ga 0.333 0.667 0.050
Ga 0.333 0.667 0.450
Ga 0.667 0.333 0.550
Ga 0.667 0.333 0.950
P 0.048 0.355 0.750
P 0.307 0.952 0.750
P 0.355 0.307 0.250
P 0.645 0.693 0.750
P 0.693 0.048 0.250
P 0.952 0.645 0.250
H 0.028 0.848 0.250
H 0.152 0.180 0.250
H 0.180 0.028 0.750
H 0.820 0.972 0.250
H 0.848 0.820 0.750
H 0.972 0.152 0.750
O 0.129 0.609 0.250
O 0.166 0.430 0.573
O 0.166 0.430 0.927
O 0.265 0.834 0.573
O 0.265 0.834 0.927
O 0.391 0.519 0.250
O 0.430 0.265 0.073
O 0.430 0.265 0.427
O 0.481 0.871 0.250
O 0.519 0.129 0.750
O 0.570 0.735 0.573
O 0.570 0.735 0.927
O 0.609 0.481 0.750
O 0.735 0.166 0.073
O 0.735 0.166 0.427
O 0.834 0.570 0.073
O 0.834 0.570 0.427
O 0.871 0.391 0.750
CELL_PARAMETERS angstrom
7.929 0.000 0.000
-3.965 6.867 0.000
0.000 0.000 7.270
```